(1)
In11Sn4 after structural relaxation, computed with PBE.

Results
The calculation puts the total magnetization at 0.00 μB per cell. For the calculated density, the calculation gives 6.93 g/cm3. The calculation puts the density of states at the Fermi level at 11.8 states/eV per cell. The value obtained for the formation energy is 0.83 eV/f.u. As for the space group: P4_2/mnm, No. 136.

Unit cell a=11.6991 b=11.6991 c=6.0841 alpha=90.00 beta=90.00 gamma=90.00
Closest atoms and distances in Å follow each position.
Atoms (fractional coordinates):
1 In 0.0000 0.0000 0.0000  12 In 3.22-3.45
2 In 0.0648 0.2673 0.0000  6 In 3.22-3.43, 4 Sn 3.24-3.28
3 In 0.0980 0.0980 0.5000  2 Sn 3.23, 3 In 3.24-3.45
4 In 0.1840 0.8160 0.2503  4 In 3.04-3.36
5 In 0.1840 0.8160 0.7497  4 In 3.04-3.36
6 In 0.2327 0.5648 0.5000  6 In 3.22-3.43, 4 Sn 3.24-3.28
7 In 0.2673 0.0648 0.0000  6 In 3.22-3.43, 4 Sn 3.24-3.28
8 In 0.3160 0.3160 0.2497  4 In 3.04-3.36
9 In 0.3160 0.3160 0.7503  4 In 3.04-3.36
10 In 0.4020 0.5980 0.0000  2 Sn 3.23, 3 In 3.24-3.45
11 In 0.4352 0.7673 0.5000  6 In 3.22-3.43, 4 Sn 3.24-3.28
12 In 0.5000 0.5000 0.5000  12 In 3.22-3.45
13 In 0.5648 0.2327 0.5000  6 In 3.22-3.43, 4 Sn 3.24-3.28
14 In 0.5980 0.4020 0.0000  2 Sn 3.23, 3 In 3.24-3.45
15 In 0.6840 0.6840 0.2497  4 In 3.04-3.36
16 In 0.6840 0.6840 0.7503  4 In 3.04-3.36
17 In 0.7327 0.9352 0.0000  6 In 3.22-3.43, 4 Sn 3.24-3.28
18 In 0.7673 0.4352 0.5000  6 In 3.22-3.43, 4 Sn 3.24-3.28
19 In 0.8160 0.1840 0.2503  4 In 3.04-3.36
20 In 0.8160 0.1840 0.7497  4 In 3.04-3.36
21 In 0.9020 0.9020 0.5000  2 Sn 3.23, 3 In 3.24-3.45
22 In 0.9352 0.7327 0.0000  6 In 3.22-3.43, 4 Sn 3.24-3.28
23 Sn 0.0381 0.3676 0.5000  1 Sn 3.22, 5 In 3.23-3.28
24 Sn 0.1324 0.5381 0.0000  1 Sn 3.22, 5 In 3.23-3.28
25 Sn 0.3676 0.0381 0.5000  1 Sn 3.22, 5 In 3.23-3.28
26 Sn 0.4619 0.8676 0.0000  1 Sn 3.22, 5 In 3.23-3.28
27 Sn 0.5381 0.1324 0.0000  1 Sn 3.22, 5 In 3.23-3.28
28 Sn 0.6324 0.9619 0.5000  1 Sn 3.22, 5 In 3.23-3.28
29 Sn 0.8676 0.4619 0.0000  1 Sn 3.22, 5 In 3.23-3.28
30 Sn 0.9619 0.6324 0.5000  1 Sn 3.22, 5 In 3.23-3.28

***

(2)
In4Sn3 after structural relaxation, computed with PBE.

Results
The calculation puts the total magnetization at 0.00 μB per cell. The energy above the most stable polymorph in this dataset comes out at 0 meV per atom. For the calculated density, the calculation gives 7.06 g/cm3. The calculation puts the density of states at the Fermi level at 5.6 states/eV per cell. The value obtained for the formation energy is 0.23 eV/f.u. As for the space group: P-1, No. 2.

Unit cell a=5.5296 b=8.8438 c=8.9243 alpha=62.30 beta=84.86 gamma=83.88
Closest atoms and distances in Å follow each position.
Atoms (fractional coordinates):
1 In 0.2455 0.3806 0.4793  6 In 3.26-3.44, 5 Sn 3.29-3.44
2 In 0.2466 0.9514 0.6212  5 Sn 3.24-3.51, 6 In 3.31-3.42
3 In 0.2502 0.0955 0.9033  7 In 3.25-3.47, 4 Sn 3.32-3.44
4 In 0.2508 0.8135 0.3328  8 In 3.25-3.47, 3 Sn 3.30-3.47
5 In 0.7492 0.1865 0.6672  8 In 3.25-3.47, 3 Sn 3.30-3.47
6 In 0.7498 0.9045 0.0967  7 In 3.25-3.47, 4 Sn 3.32-3.44
7 In 0.7534 0.0486 0.3788  5 Sn 3.24-3.51, 6 In 3.31-3.42
8 In 0.7545 0.6194 0.5207  6 In 3.26-3.44, 5 Sn 3.29-3.44
9 Sn 0.2415 0.6665 0.0550  6 Sn 3.26-3.44, 5 In 3.30-3.50
10 Sn 0.2504 0.5292 0.7616  5 Sn 3.26-3.45, 6 In 3.29-3.47
11 Sn 0.2557 0.2389 0.1867  6 In 3.24-3.51, 5 Sn 3.29-3.45
12 Sn 0.7443 0.7611 0.8133  6 In 3.24-3.51, 5 Sn 3.29-3.45
13 Sn 0.7496 0.4708 0.2384  5 Sn 3.26-3.45, 6 In 3.29-3.47
14 Sn 0.7585 0.3335 0.9450  6 Sn 3.26-3.44, 5 In 3.30-3.50

***

(3)
In3Sn after structural relaxation, computed with PBE.

Results
The calculation puts the total magnetization at 0.00 μB per cell. For the calculated density, the calculation gives 7.03 g/cm3. The calculation puts the density of states at the Fermi level at 1.9 states/eV per cell. The value obtained for the formation energy is 0.08 eV/f.u. As for the space group: C2/m, No. 12.

Unit cell a=3.3799 b=3.3799 c=11.1742 alpha=96.09 beta=96.09 gamma=59.75
Closest atoms and distances in Å follow each position.
Atoms (fractional coordinates):
1 In 0.0000 0.0000 0.0000  12 In 3.29-3.47
2 In 0.2395 0.2395 0.7483  9 In 3.29-3.47, 3 Sn 3.33-3.40
3 In 0.7605 0.7605 0.2517  9 In 3.29-3.47, 3 Sn 3.33-3.40
4 Sn 0.5000 0.5000 0.5000  6 In 3.33-3.40, 6 Sn 3.37-3.38

***

(4)
In13Sn3 after structural relaxation, computed with PBE.

Results
The calculation puts the total magnetization at 0.00 μB per cell. For the calculated density, the calculation gives 7.04 g/cm3. The calculation puts the density of states at the Fermi level at 5.7 states/eV per cell. The value obtained for the formation energy is 0.32 eV/f.u. As for the space group: Amm2, No. 38.

Unit cell a=9.0508 b=6.9401 c=6.9401 alpha=89.99 beta=90.00 gamma=90.00
Closest atoms and distances in Å follow each position.
Atoms (fractional coordinates):
1 In 0.0000 0.0000 0.0000  2 Sn 3.29, 10 In 3.35-3.56
2 In 0.0000 0.0011 0.5131  2 Sn 3.29, 10 In 3.34-3.56
3 In 0.0000 0.5131 0.0011  2 Sn 3.29, 10 In 3.34-3.56
4 In 0.0000 0.5135 0.5135  2 Sn 3.31, 10 In 3.34-3.56
5 In 0.2510 0.2574 0.7562  9 In 3.32-3.49, 3 Sn 3.34-3.48
6 In 0.2510 0.7562 0.2574  9 In 3.32-3.49, 3 Sn 3.34-3.48
7 In 0.2677 0.7603 0.7603  11 In 3.30-3.49, 1 Sn 3.33
8 In 0.5000 0.0173 0.4985  4 Sn 3.30-3.64, 8 In 3.30-3.61
9 In 0.5000 0.4985 0.0173  4 Sn 3.30-3.64, 8 In 3.30-3.61
10 In 0.5000 0.4978 0.4978  10 In 3.32-3.61, 2 Sn 3.38
11 In 0.7323 0.7603 0.7603  11 In 3.30-3.49, 1 Sn 3.33
12 In 0.7490 0.2574 0.7562  9 In 3.32-3.49, 3 Sn 3.34-3.48
13 In 0.7490 0.7562 0.2574  9 In 3.32-3.49, 3 Sn 3.34-3.48
14 Sn 0.2349 0.2553 0.2553  11 In 3.29-3.48, 1 Sn 3.31
15 Sn 0.5000 0.0232 0.0232  10 In 3.30-3.64, 2 Sn 3.31
16 Sn 0.7651 0.2553 0.2553  11 In 3.29-3.48, 1 Sn 3.31

***

(5)
InSn5 after structural relaxation, computed with PBE.

Results
The calculation puts the total magnetization at 0.00 μB per cell. The energy above the most stable polymorph in this dataset comes out at 0 meV per atom. For the calculated density, the calculation gives 7.10 g/cm3. The calculation puts the density of states at the Fermi level at 2.2 states/eV per cell. The value obtained for the formation energy is 0.26 eV/f.u. As for the space group: P1, No. 1.

Unit cell a=3.3800 b=6.8432 c=7.5271 alpha=100.80 beta=101.44 gamma=96.50
Closest atoms and distances in Å follow each position.
Atoms (fractional coordinates):
1 In 0.0000 0.0000 0.0000  10 Sn 3.28-3.53, 2 In 3.38
2 Sn 0.0011 0.5005 0.0005  10 Sn 3.30-3.51, 2 In 3.42
3 Sn 0.3325 0.1678 0.6668  10 Sn 3.26-3.54, 2 In 3.28-3.48
4 Sn 0.3375 0.6655 0.6649  10 Sn 3.27-3.48, 2 In 3.32-3.53
5 Sn 0.6644 0.3321 0.3350  10 Sn 3.26-3.48, 2 In 3.32-3.52
6 Sn 0.6752 0.8307 0.3341  10 Sn 3.27-3.54, 2 In 3.28-3.51

***

(6)
In8Sn after structural relaxation, computed with PBE.

Results
The calculation puts the total magnetization at 0.00 μB per cell. For the calculated density, the calculation gives 7.01 g/cm3. The calculation puts the density of states at the Fermi level at 4.0 states/eV per cell. The value obtained for the formation energy is 0.14 eV/f.u. As for the space group: I4/mmm, No. 139.

Unit cell a=7.3512 b=7.3512 c=7.3512 alpha=97.17 beta=97.17 gamma=138.62
Closest atoms and distances in Å follow each position.
Atoms (fractional coordinates):
1 In 0.0000 0.3333 0.3333  1 Sn 3.24, 11 In 3.24-3.46
2 In 0.0000 0.6667 0.6667  1 Sn 3.24, 11 In 3.24-3.46
3 In 0.3333 0.0000 0.3333  1 Sn 3.24, 11 In 3.24-3.46
4 In 0.3334 0.3334 0.6669  10 In 3.24-3.47, 2 Sn 3.46
5 In 0.3334 0.6666 0.0000  10 In 3.24-3.47, 2 Sn 3.46
6 In 0.6667 0.0000 0.6667  1 Sn 3.24, 11 In 3.24-3.46
7 In 0.6666 0.3334 0.0000  10 In 3.24-3.47, 2 Sn 3.46
8 In 0.6666 0.6666 0.3331  10 In 3.24-3.47, 2 Sn 3.46
9 Sn 0.0000 0.0000 0.0000  12 In 3.24-3.46

***

(7)
InSn after structural relaxation, computed with PBE.

Results
The calculation puts the total magnetization at 0.00 μB per cell. For the calculated density, the calculation gives 7.06 g/cm3. The calculation puts the density of states at the Fermi level at 1.0 states/eV per cell. The value obtained for the formation energy is 0.08 eV/f.u. As for the space group: P1, No. 1.

Unit cell a=3.2057 b=3.4978 c=5.5295 alpha=83.26 beta=80.44 gamma=64.16
Closest atoms and distances in Å follow each position.
Atoms (fractional coordinates):
1 In 0.0000 0.0000 0.0000  6 In 3.21-3.57, 5 Sn 3.24-3.58
2 Sn 0.5168 0.5049 0.4994  6 Sn 3.21-3.57, 5 In 3.24-3.58

***

(8)
In3Sn after structural relaxation, computed with PBE.

Results
The calculation puts the total magnetization at 0.00 μB per cell. For the calculated density, the calculation gives 7.01 g/cm3. The calculation puts the density of states at the Fermi level at 1.8 states/eV per cell. The value obtained for the formation energy is 0.11 eV/f.u. As for the space group: C2/m, No. 12.

Unit cell a=5.8833 b=5.8833 c=6.0208 alpha=93.65 beta=93.65 gamma=31.85
Closest atoms and distances in Å follow each position.
Atoms (fractional coordinates):
1 In 0.0000 0.0000 0.0000  8 In 3.23-3.51, 4 Sn 3.42
2 In 0.2493 0.2493 0.7512  9 In 3.23-3.51, 3 Sn 3.30-3.50
3 In 0.7507 0.7507 0.2488  9 In 3.23-3.51, 3 Sn 3.30-3.50
4 Sn 0.5000 0.5000 0.5000  2 Sn 3.23, 10 In 3.30-3.50

***

(9)
InSn3 after structural relaxation, computed with PBE.

Results
The calculation puts the total magnetization at 0.00 μB per cell. For the calculated density, the calculation gives 7.15 g/cm3. The calculation puts the density of states at the Fermi level at 5.1 states/eV per cell. The value obtained for the formation energy is 0.22 eV/f.u. As for the space group: P6_3/mmc, No. 194.

Unit cell a=6.8293 b=6.8293 c=5.4169 alpha=90.00 beta=90.00 gamma=120.00
Closest atoms and distances in Å follow each position.
Atoms (fractional coordinates):
1 In 0.3333 0.6667 0.2500  12 Sn 3.35-3.41
2 In 0.6667 0.3333 0.7500  12 Sn 3.35-3.41
3 Sn 0.1670 0.3339 0.7500  4 In 3.35-3.41, 8 Sn 3.35-3.42
4 Sn 0.1670 0.8330 0.7500  4 In 3.35-3.41, 8 Sn 3.35-3.42
5 Sn 0.3339 0.1670 0.2500  4 In 3.35-3.41, 8 Sn 3.35-3.42
6 Sn 0.6661 0.8330 0.7500  4 In 3.35-3.41, 8 Sn 3.35-3.42
7 Sn 0.8330 0.1670 0.2500  4 In 3.35-3.41, 8 Sn 3.35-3.42
8 Sn 0.8330 0.6661 0.2500  4 In 3.35-3.41, 8 Sn 3.35-3.42

***

(10)
In3Sn after structural relaxation, computed with PBE.

Results
The calculation puts the total magnetization at 0.00 μB per cell. For the calculated density, the calculation gives 7.03 g/cm3. The calculation puts the density of states at the Fermi level at 1.6 states/eV per cell. The value obtained for the formation energy is 0.13 eV/f.u. As for the space group: Imm2, No. 44.

Unit cell a=6.4359 b=6.4359 c=6.4359 alpha=148.75 beta=62.81 gamma=127.01
Closest atoms and distances in Å follow each position.
Atoms (fractional coordinates):
1 In 0.0000 0.0000 0.0000  4 Sn 3.32-3.39, 8 In 3.37-3.47
2 In 0.1046 0.3507 0.7539  3 Sn 3.33-3.42, 9 In 3.35-3.47
3 In 0.5968 0.3507 0.2461  3 Sn 3.33-3.42, 9 In 3.35-3.47
4 Sn 0.5071 0.0071 0.5000  10 In 3.32-3.42, 2 Sn 3.47

***

(11)
InSn after structural relaxation, computed with PBE.

Results
The calculation puts the total magnetization at 0.00 μB per cell. For the calculated density, the calculation gives 6.86 g/cm3. The calculation puts the density of states at the Fermi level at 3.6 states/eV per cell. The value obtained for the formation energy is 0.11 eV/f.u. As for the space group: I4/m, No. 87.

Unit cell a=8.6243 b=8.6243 c=8.6243 alpha=91.91 beta=91.91 gamma=158.98
Closest atoms and distances in Å follow each position.
Atoms (fractional coordinates):
1 In 0.1114 0.3632 0.4746  3 Sn 3.11-3.33, 6 In 3.15-3.38
2 In 0.3632 0.8886 0.2518  3 Sn 3.11-3.33, 6 In 3.15-3.38
3 In 0.6368 0.1114 0.7482  3 Sn 3.11-3.33, 6 In 3.15-3.38
4 In 0.8886 0.6368 0.5254  3 Sn 3.11-3.33, 6 In 3.15-3.38
5 Sn 0.1065 0.8539 0.9604  4 Sn 3.07-3.15, 3 In 3.11-3.33
6 Sn 0.1461 0.1065 0.2526  4 Sn 3.07-3.15, 3 In 3.11-3.33
7 Sn 0.8539 0.8935 0.7474  4 Sn 3.07-3.15, 3 In 3.11-3.33
8 Sn 0.8935 0.1461 0.0396  4 Sn 3.07-3.15, 3 In 3.11-3.33

***

(12)
In5Sn after structural relaxation, computed with PBE.

Results
The calculation puts the total magnetization at 0.00 μB per cell. The energy above the most stable polymorph in this dataset comes out at 11 meV per atom. For the calculated density, the calculation gives 7.01 g/cm3. The calculation puts the density of states at the Fermi level at 2.9 states/eV per cell. The value obtained for the formation energy is 0.15 eV/f.u. As for the space group: Cmmm, No. 65.

Unit cell a=7.4910 b=7.4910 c=4.4499 alpha=90.00 beta=90.00 gamma=138.94
Closest atoms and distances in Å follow each position.
Atoms (fractional coordinates):
1 In 0.0000 0.0000 0.0000  8 In 3.22-3.52, 4 Sn 3.44
2 In 0.1658 0.8342 0.5000  10 In 3.22-3.53, 2 Sn 3.51
3 In 0.3333 0.6667 0.0000  2 Sn 3.23, 10 In 3.24-3.52
4 In 0.6667 0.3333 0.0000  2 Sn 3.23, 10 In 3.24-3.52
5 In 0.8342 0.1658 0.5000  10 In 3.22-3.53, 2 Sn 3.51
6 Sn 0.5000 0.5000 0.5000  12 In 3.23-3.51